Ac2TbAgTe5 (GGA-PBE, optimized geometry); space-group type = Cmc2_1; final energy = -4.80 eV per atom
1.0
4.5490 0.0000 0.0000
-2.2745 9.7542 0.0000
0.0000 0.0000 13.5539
Te Ac Tb Ag
10 4 2 2
Cartesian
2.2745 8.8845 7.7111
0.0000 5.9476 4.7140
2.2745 2.8466 6.7932
0.0000 5.6155 9.0207
0.0000 9.7371 10.5336
2.2745 3.8066 11.4910
2.2745 0.0171 3.7566
2.2745 4.1388 2.2438
0.0000 6.9077 0.0163
0.0000 0.8697 0.9341
0.0000 2.1782 9.3171
0.0000 2.4331 4.1824
2.2745 7.5761 2.5402
2.2745 7.3211 10.9593
2.2745 6.0098 6.9118
0.0000 3.7444 0.1348
0.0000 8.4194 6.1995
2.2745 1.3349 12.9765


AcTbYAg (GGA-PBE, optimized geometry); DFT formation energy = 0.1742 eV/atom; space-group type = F-43m
1.0
5.5782 0.0000 0.0000
2.7891 4.8309 0.0000
2.7891 1.6103 4.5546
Ag Y Tb Ac
1 1 1 1
Cartesian
8.3673 4.8309 3.4159
5.5782 3.2206 2.2773
0.0000 0.0000 0.0000
2.7891 1.6103 1.1386


Ac2TcAg (GGA-PBE, optimized geometry); DFT formation energy = 0.0697 eV/atom; space-group type = P4/mmm
1.0
-0.2304 1.6740 3.3327
2.0317 -2.7438 1.5186
6.7621 4.1203 -1.6021
Ag Tc Ac
1 1 2
Cartesian
4.2817 1.5253 1.6246
0.9006 -0.5349 2.4257
5.2442 3.1954 -1.2425
1.5180 0.9249 -0.3596


Ac2TcAg (GGA-PBE, optimized geometry); DFT formation energy = 0.8490 eV/atom; space-group type = R-3m
1.0
-1.5715 -3.2773 0.3046
-0.4126 -1.5262 3.2868
-10.0349 2.9821 2.1487
Ac Ag Tc
2 1 1
Cartesian
-7.6688 1.8252 1.9085
-4.3503 -3.6465 3.8316
-6.0095 -0.9107 2.8701
0.0000 0.0000 0.0000


Ac4AgTe3 (GGA-PBE, optimized geometry); space-group type = Cmmm; final energy = -4.75 eV per atom
1.0
4.6024 0.0000 0.0000
0.0000 7.8443 -2.6162
0.0000 -0.0096 8.2691
Ag Ac Te
1 4 3
Cartesian
2.3012 0.0000 0.0000
0.0000 1.8487 1.3339
0.0000 5.9860 4.3190
2.3012 5.9068 0.0691
2.3012 1.9279 5.5838
2.3012 3.9174 2.8265
0.0000 3.9222 -1.3081
0.0000 -0.0048 4.1346


AcAg2Te (GGA-PBE, optimized geometry); space-group type = R-3m; final energy = -3.57 eV per atom
1.0
5.3312 0.0000 0.0000
2.6656 4.6169 0.0000
2.6656 1.5390 4.3457
Ag Te Ac
2 1 1
Cartesian
2.6656 1.5390 1.0912
7.9967 4.6169 3.2545
0.0000 0.0000 0.0000
5.3312 3.0779 2.1728


AcAg2Te3 (GGA-PBE, optimized geometry); space-group type = C2/m; final energy = -3.84 eV per atom
1.0
4.8330 0.0000 0.0000
0.0000 6.6208 -0.1260
-2.4165 -1.8012 12.4617
Te Ag Ac
6 4 2
Cartesian
2.4165 -0.2595 11.0777
0.0000 2.5528 9.7994
0.0000 5.0791 1.2580
2.4165 4.4523 6.6602
2.4165 2.2668 2.5363
0.0000 0.3673 5.6756
0.0000 1.2944 1.4333
0.0000 2.8343 7.0076
2.4165 1.9853 5.3281
2.4165 3.5252 10.9024
0.0000 -0.8163 8.9270
2.4165 5.6359 3.4087


Ac4AgTe5 (GGA-PBE, optimized geometry); space-group type = R-3m; final energy = -4.76 eV per atom
1.0
4.7145 0.0000 0.0000
2.3573 4.0829 0.0000
2.3573 1.3610 18.6779
Te Ac Ag
5 4 1
Cartesian
7.0718 4.0829 10.9155
4.7145 2.7219 14.7786
4.7145 2.7219 3.8993
0.0000 0.0000 0.0000
2.3573 1.3610 7.7624
7.0718 4.0829 16.7332
7.0718 4.0829 5.8580
2.3573 1.3610 1.9446
2.3573 1.3610 12.8199
4.7145 2.7219 9.3389


AcAg8Te6 (GGA-PBE, optimized geometry); space-group type = R-3; final energy = -3.35 eV per atom
1.0
0.5463 7.1537 3.2773
4.1825 0.9997 6.6123
8.0257 4.1966 -1.0066
Ac Te Ag
1 6 8
Cartesian
0.0000 0.0000 0.0000
8.0711 4.0018 2.3160
9.5189 7.1575 5.5705
6.7770 8.5663 1.9451
3.2356 5.1926 3.3125
4.6835 8.3483 6.5670
5.9775 3.7838 6.9379
5.6049 5.2709 1.6973
7.6376 6.4640 3.6006
7.1497 7.0792 7.1857
8.4881 4.5160 5.7593
6.7438 9.1292 4.7303
5.1170 5.8861 5.2824
6.0108 3.2209 4.1527
4.2664 7.8341 3.1237


Ac2Ag4Te5 (GGA-PBE, optimized geometry); space-group type = R-3m; final energy = -3.83 eV per atom
1.0
4.6719 0.0000 0.0000
2.3359 4.0460 0.0000
2.3359 1.3487 19.2250
Ag Ac Te
4 2 5
Cartesian
4.6719 2.6973 4.6114
2.3359 1.3487 1.2369
4.6719 2.6973 14.6137
7.0078 4.0460 17.9881
2.3359 1.3487 11.6267
7.0078 4.0460 7.5983
4.6719 2.6973 17.3632
4.6719 2.6973 9.6125
2.3359 1.3487 5.6545
4.6719 2.6973 1.8618
7.0078 4.0460 13.5705


Ac2AgTe5 (GGA-PBE, optimized geometry); space-group type = I4mm; final energy = -4.22 eV per atom
1.0
7.9966 0.0029 0.0013
0.0031 7.9962 0.0009
-3.9988 -3.9984 4.1855
Te Ac Ag
5 2 1
Cartesian
6.1525 1.8478 0.4631
6.1533 6.1529 0.4639
1.8481 6.1521 0.4629
1.8462 1.8461 0.4603
3.9995 3.9992 0.4813
0.0018 3.9995 2.5446
3.9997 0.0020 2.5448
4.0003 4.0000 3.2793


AcAgTe (GGA-PBE, optimized geometry); space-group type = P3m1; final energy = -4.12 eV per atom
1.0
-0.7044 1.1422 4.4665
-3.4713 -3.3452 0.3080
4.5755 -1.1662 1.0198
Ac Te Ag
1 1 1
Cartesian
-0.0300 0.0487 0.1905
-1.2074 -1.9404 3.1984
1.6373 -1.4775 2.4055


AcAg2Te2 (GGA-PBE, optimized geometry); space-group type = C2/c; final energy = -3.77 eV per atom
1.0
-7.7884 -0.4996 -1.1674
1.1306 -6.8874 3.6819
2.5151 5.8264 3.0490
Ag Ac Te
4 2 4
Cartesian
-3.8913 -1.0570 2.8742
-3.4110 -5.2149 2.2946
-0.2514 -0.5036 2.6893
-0.7317 3.6542 3.2689
-4.8859 3.1424 1.6718
0.7433 -4.7031 3.8917
-5.6432 -0.1291 0.4193
1.5005 -1.4316 5.1441
-2.4330 1.3857 3.0054
-1.7096 -2.9463 2.5580


Ac5AgTe8 (GGA-PBE, optimized geometry); space-group type = I-4; final energy = -4.88 eV per atom
1.0
8.6114 -0.0320 0.0550
-2.9439 8.0926 -0.0550
-2.7236 -4.1077 7.0617
Te Ac Ag
8 5 1
Cartesian
6.1147 -2.0386 5.1503
-1.0435 5.9262 0.1135
0.2622 3.5777 6.0611
4.8482 0.4646 2.5584
0.5543 0.4405 2.7986
1.7406 3.8436 1.6946
-2.6395 4.0052 3.6146
1.9384 -0.4077 6.2558
0.0989 -3.1027 7.0160
4.2394 6.0751 1.7313
-1.3852 2.5014 0.8962
2.9346 2.4320 4.4799
2.9439 -2.0699 3.5584
-1.3618 0.9575 5.2825


AcAgTe3 (GGA-PBE, optimized geometry); space-group type = C2/c; final energy = -4.06 eV per atom
1.0
-5.0684 5.6022 5.1248
-5.7367 -0.2530 -7.0966
0.1398 -8.3041 3.9708
Te Ag Ac
12 4 4
Cartesian
-7.0740 0.9273 -4.3875
-3.4586 -6.4895 2.6565
-3.9745 1.1407 5.0140
-6.6908 -4.0957 -3.0150
-7.1937 -1.1164 0.2865
-3.4715 -1.8386 1.7125
-7.2067 3.5346 -0.6575
-6.2865 4.2102 3.6698
-4.0454 -3.0965 -2.6254
-6.6199 0.1415 4.6243
-3.5912 -3.8823 6.3865
-4.3787 -7.1652 -1.6709
-6.2444 -2.0023 2.8572
-6.4524 0.9398 -1.6538
-4.4209 -0.9527 -0.8583
-4.2129 -3.8947 3.6528
-5.2765 1.3963 1.6720
-5.3888 -4.3513 0.3269
-5.6627 -1.9867 -5.3893
-5.0026 -0.9683 7.3882


AcAgTe (GGA-PBE, optimized geometry); space-group type = F-43m; final energy = -4.06 eV per atom
1.0
-1.8061 2.8096 4.2877
-4.3527 -1.7394 2.7511
0.5816 -2.0189 5.0126
Te Ac Ag
1 1 1
Cartesian
-2.7886 -0.4744 6.0257
-1.3943 -0.2372 3.0129
0.0000 0.0000 0.0000


Ac3Ag5Te12 (GGA-PBE, optimized geometry); space-group type = Ia-3d; final energy = -3.67 eV per atom
1.0
15.3856 0.0000 0.0000
-5.1285 14.5057 0.0000
-5.1285 -7.2529 12.5623
Te Ag Ac
48 20 12
Cartesian
3.7119 6.0165 5.2288
-6.2762 3.9101 8.8772
5.8220 -1.8787 11.5100
10.0613 1.5268 0.4428
7.0428 8.1373 6.7240
6.9994 7.2248 2.1532
6.5451 11.1630 3.6851
-1.4166 5.1465 11.0186
-5.8220 -0.0280 10.4091
-4.4785 6.3684 6.7240
2.7600 -2.4795 7.3820
-3.2143 8.2403 9.9663
5.8220 1.8507 11.4614
5.7786 6.2654 9.9663
-1.1477 8.4892 5.2288
4.9328 2.4795 7.3820
3.2577 5.3741 1.0523
9.6071 0.8844 5.8383
1.8708 -1.8507 11.4614
-1.8708 0.0280 10.4091
-0.6500 0.9875 2.5961
6.5451 2.1064 1.5437
0.1958 4.7734 5.1803
1.4166 1.2363 7.3335
6.2762 -1.2363 7.3335
9.1094 -5.1465 11.0186
-2.7600 3.2465 7.8249
10.4529 -3.2465 7.8249
3.2577 9.1036 1.1009
1.8708 1.8787 11.5100
3.2143 1.8719 4.1279
-3.9809 12.3993 1.5437
-1.4166 -3.9101 8.8772
2.3685 9.7323 5.1803
7.8886 4.0063 4.7374
8.3428 -0.9875 2.5961
11.4048 3.3427 3.6851
-1.9142 -0.8844 5.8383
-4.9328 5.7260 12.1195
10.9505 7.2809 2.1532
1.9142 5.3809 8.4344
4.4785 -1.8719 4.1279
-0.6934 5.4021 1.1009
-0.6934 9.1316 1.0523
0.6500 9.1248 8.4344
-5.3243 10.4994 4.7374
-2.7600 -5.7260 12.1195
7.8886 12.9789 0.4428
6.4107 6.3462 4.7109
-3.8464 8.1595 4.7109
3.8464 2.7198 1.5703
3.8464 10.8793 3.1406
2.5643 3.6264 6.2812
6.4107 -4.5330 10.9920
1.2821 4.5330 10.9920
-2.5643 7.2529 0.0000
8.9749 -0.9066 7.8514
-1.2821 0.9066 7.8514
6.4107 3.6264 9.4217
5.1285 -3.6264 6.2812
0.0000 0.0000 0.0000
-1.2821 3.6264 3.1406
-1.2821 11.7859 1.5703
-2.5643 -3.6264 6.2812
7.6928 0.0000 0.0000
5.1285 7.2529 0.0000
-5.1285 3.6264 6.2812
1.2821 -3.6264 9.4217
-6.4107 7.2529 9.4217
8.9749 9.9727 1.5703
3.8464 8.1595 7.8514
6.4107 0.9066 4.7109
3.8464 0.0000 9.4217
-1.2821 6.3462 7.8514
1.2821 7.2529 3.1406
-3.8464 -2.7198 10.9920
11.5392 0.0000 3.1406
-3.8464 2.7198 10.9920
1.2821 -0.9066 4.7109
8.9749 4.5330 1.5703


AcAg4Te (GGA-PBE, optimized geometry); space-group type = F-43m; final energy = -3.36 eV per atom
1.0
5.8453 0.0000 0.0000
2.9227 5.0622 0.0000
2.9227 1.6874 4.7727
Te Ag Ac
1 4 1
Cartesian
0.0000 0.0000 0.0000
4.3811 4.2202 2.9841
5.8453 1.6840 2.9841
5.8453 3.3748 0.5930
7.3096 4.2202 2.9841
2.9227 1.6874 1.1932


AcThAgTe4 (GGA-PBE, optimized geometry); space-group type = P2_1/m; final energy = -4.85 eV per atom
1.0
7.2380 0.0000 0.0723
0.0000 7.8412 0.0000
-2.7271 0.0000 8.4333
Th Te Ac Ag
2 8 2 2
Cartesian
4.3575 5.8809 3.7536
0.1533 1.9603 4.7521
6.2814 0.1527 2.3079
2.8039 1.9603 3.1962
2.9415 5.8809 0.9602
-1.7706 4.0733 6.1977
-1.7706 7.6886 6.1977
1.5693 1.9603 7.5454
1.7069 5.8809 5.3095
6.2814 3.7680 2.3079
3.2211 5.8809 8.1245
1.2897 1.9603 0.3812
0.8187 5.8809 2.7160
3.6922 1.9603 5.7897


How do the records compare in magnetic moment? In the order shown, they have 0.0, 0.0, 0.0, 0.0, 0.0, 0.0, 0.0, 0.0, 0.0, 0.0, 0.0, 0.0, 0.0, 0.0, 0.0, 0.0, 0.0, 0.0, 0.0 μB per formula unit.